1.
CaTi2GeOs | PBE | optimized geometry Values from VASP.

Raw total energy: -4.699 eV per atom
Calculated volume: 18.6 Å³/atom

Geometry as Quantum ESPRESSO input:
```
&SYSTEM
  ibrav = 0, nat = 5, ntyp = 4
/
ATOMIC_SPECIES
Ge 72.64 Ge.upf
Os 190.23 Os.upf
Ca 40.08 Ca.upf
Ti 47.87 Ti.upf
CELL_PARAMETERS angstrom
4.357 0.000 0.000
0.000 4.897 0.000
0.000 0.000 4.357
ATOMIC_POSITIONS crystal
Ge 0.000 0.500 0.000
Os 0.500 0.500 0.500
Ca 0.000 0.000 0.000
Ti 0.000 0.000 0.500
Ti 0.500 0.000 0.000
```


2.
Ca2ZnGeOs | PBE | optimized geometry Values from VASP.

Raw total energy: -3.411 eV per atom
Calculated volume: 27.9 Å³/atom

Geometry as Quantum ESPRESSO input:
```
&SYSTEM
  ibrav = 0, nat = 5, ntyp = 4
/
ATOMIC_SPECIES
Ge 72.64 Ge.upf
Ca 40.08 Ca.upf
Os 190.23 Os.upf
Zn 65.41 Zn.upf
CELL_PARAMETERS angstrom
5.588 0.000 0.000
0.000 5.588 0.000
0.000 0.000 4.463
ATOMIC_POSITIONS crystal
Ge 0.000 0.000 0.000
Ca 0.000 0.500 0.000
Ca 0.500 0.000 0.000
Os 0.500 0.500 0.500
Zn 0.000 0.000 0.500
```


3.
CaGe2P2 | PBE | optimized geometry Values from VASP.

Raw total energy: -4.471 eV per atom
Calculated volume: 19.6 Å³/atom

Geometry as Quantum ESPRESSO input:
```
&SYSTEM
  ibrav = 0, nat = 10, ntyp = 3
/
ATOMIC_SPECIES
P 30.97 P.upf
Ge 72.64 Ge.upf
Ca 40.08 Ca.upf
CELL_PARAMETERS angstrom
-7.114 -0.732 -0.605
0.943 -5.976 -3.862
-0.058 -2.068 3.186
ATOMIC_POSITIONS crystal
P 0.382 0.882 0.000
P 0.882 0.618 0.000
P 0.618 0.118 0.000
P 0.118 0.382 0.000
Ge 0.168 0.668 0.500
Ge 0.668 0.832 0.500
Ge 0.832 0.332 0.500
Ge 0.332 0.168 0.500
Ca 0.000 0.000 0.000
Ca 0.500 0.500 0.000
```


4.
CaGe2P2 | PBE | optimized geometry Values from VASP.

Raw total energy: -4.651 eV per atom
Calculated volume: 20.5 Å³/atom

Geometry as Quantum ESPRESSO input:
```
&SYSTEM
  ibrav = 0, nat = 5, ntyp = 3
/
ATOMIC_SPECIES
P 30.97 P.upf
Ge 72.64 Ge.upf
Ca 40.08 Ca.upf
CELL_PARAMETERS angstrom
4.906 0.000 0.000
0.000 4.906 0.000
2.453 2.453 4.259
ATOMIC_POSITIONS crystal
P 0.750 0.250 0.500
P 0.250 0.750 0.500
Ge 0.345 0.345 0.310
Ge 0.655 0.655 0.690
Ca 0.000 0.000 0.000
```


5.
CaGeP3 | PBE | optimized geometry Values from VASP.

Raw total energy: -4.305 eV per atom
ΔE to the lowest computed polymorph: 0.0000 eV/atom
Calculated volume: 22.0 Å³/atom

Geometry as Quantum ESPRESSO input:
```
&SYSTEM
  ibrav = 0, nat = 5, ntyp = 3
/
ATOMIC_SPECIES
P 30.97 P.upf
Ge 72.64 Ge.upf
Ca 40.08 Ca.upf
CELL_PARAMETERS angstrom
-3.819 -0.811 2.779
-1.889 -2.788 -3.409
2.194 -3.812 1.902
ATOMIC_POSITIONS crystal
P 0.000 0.500 0.000
P 0.000 0.000 0.500
P 0.500 0.000 0.000
Ge 0.000 0.000 0.000
Ca 0.500 0.500 0.500
```


6.
Ca5Ge2P | PBE | optimized geometry Values from VASP.

Raw total energy: -3.809 eV per atom
Calculated volume: 28.2 Å³/atom

Geometry as Quantum ESPRESSO input:
```
&SYSTEM
  ibrav = 0, nat = 16, ntyp = 3
/
ATOMIC_SPECIES
Ca 40.08 Ca.upf
Ge 72.64 Ge.upf
P 30.97 P.upf
CELL_PARAMETERS angstrom
-1.374 -1.856 3.448
-5.273 -4.512 -4.530
9.137 -9.306 -1.368
ATOMIC_POSITIONS crystal
Ca 0.500 0.335 0.099
Ca 0.500 0.665 0.901
Ca 0.500 0.835 0.401
Ca 0.500 0.165 0.599
Ca 0.000 0.826 0.692
Ca 0.000 0.174 0.308
Ca 0.000 0.326 0.808
Ca 0.000 0.674 0.192
Ca 0.000 0.500 0.500
Ca 0.000 0.000 0.000
Ge 0.500 0.473 0.325
Ge 0.500 0.527 0.675
Ge 0.500 0.027 0.825
Ge 0.500 0.973 0.175
P 0.000 0.000 0.500
P 0.000 0.500 0.000
```


7.
CaGeP3 | PBE | optimized geometry Values from VASP.

Raw total energy: -3.402 eV per atom
ΔE to the lowest computed polymorph: 0.9030 eV/atom
Calculated volume: 27.0 Å³/atom

Geometry as Quantum ESPRESSO input:
```
&SYSTEM
  ibrav = 0, nat = 5, ntyp = 3
/
ATOMIC_SPECIES
P 30.97 P.upf
Ge 72.64 Ge.upf
Ca 40.08 Ca.upf
CELL_PARAMETERS angstrom
5.130 0.000 0.000
0.000 5.130 0.000
0.000 0.000 5.130
ATOMIC_POSITIONS crystal
P 0.000 0.500 0.000
P 0.000 0.000 0.500
P 0.500 0.000 0.000
Ge 0.500 0.500 0.500
Ca 0.000 0.000 0.000
```


8.
Ca3GeP | PBE | optimized geometry Values from VASP.

Raw total energy: -3.772 eV per atom
ΔE to the lowest computed polymorph: 0.0000 eV/atom
Calculated volume: 31.3 Å³/atom

Geometry as Quantum ESPRESSO input:
```
&SYSTEM
  ibrav = 0, nat = 5, ntyp = 3
/
ATOMIC_SPECIES
P 30.97 P.upf
Ge 72.64 Ge.upf
Ca 40.08 Ca.upf
CELL_PARAMETERS angstrom
5.387 0.000 0.000
0.000 5.387 0.000
0.000 0.000 5.387
ATOMIC_POSITIONS crystal
P 0.000 0.000 0.000
Ge 0.500 0.500 0.500
Ca 0.000 0.500 0.000
Ca 0.000 0.000 0.500
Ca 0.500 0.000 0.000
```


| no. | formation enthalpy at 0 K (eV per atom) |
| --- | --- |
| 1 | 2.03 |
| 2 | 0.81 |
| 3 | -0.06 |
| 4 | -0.24 |
| 5 | 0.27 |
| 6 | -0.73 |
| 7 | 1.17 |
| 8 | -0.57 |